# 1
! TaGe2Pd2 PBE-GGA relaxed; values from VASP
&SYSTEM
  ibrav = 0, nat = 10, ntyp = 3
/
ATOMIC_SPECIES
Ge 72.64 Ge.upf
Pd 106.42 Pd.upf
Ta 180.95 Ta.upf
ATOMIC_POSITIONS angstrom
Ge 1.127 2.540 0.000
Ge 4.793 1.127 0.000
Ge 6.207 4.793 0.000
Ge 2.540 6.207 0.000
Pd 6.270 2.603 1.496
Pd 1.063 4.730 1.496
Pd 4.730 6.270 1.496
Pd 2.603 1.063 1.496
Ta 0.000 0.000 0.000
Ta 3.667 3.667 0.000
CELL_PARAMETERS angstrom
7.333 0.000 0.000
0.000 7.333 0.000
0.000 0.000 2.991
! ρ, Mg/m³: 11.1
! Formation energy, eV/f.u.: -1.07
! E_tot, eV per atom: -6.51
! SG: P4/mbm, No. 127
! Crystal system: tetragonal


# 2
! TaGePd PBE-GGA relaxed; values from VASP
&SYSTEM
  ibrav = 0, nat = 12, ntyp = 3
/
ATOMIC_SPECIES
Ge 72.64 Ge.upf
Ta 180.95 Ta.upf
Pd 106.42 Pd.upf
ATOMIC_POSITIONS angstrom
Ge 1.060 -3.115 -2.515
Ge -4.266 -3.133 1.193
Ge -0.918 -4.568 -1.962
Ge -0.989 -0.726 0.276
Ta -0.189 -5.354 0.462
Ta 1.392 -1.954 -0.155
Ta -1.321 -1.887 -2.083
Ta 1.463 -5.796 -2.394
Pd -2.592 -3.851 -0.385
Pd -0.748 -2.698 1.640
Pd 2.481 -4.422 1.059
Pd 3.264 -3.645 -1.700
CELL_PARAMETERS angstrom
-1.566 -1.554 5.518
-3.689 -2.305 -4.049
6.458 -3.448 -1.162
! ρ, Mg/m³: 11.0
! Formation energy, eV/f.u.: 0.46
! E_tot, eV per atom: -7.07
! SG: Fddd, No. 70
! Crystal system: orthorhombic


# 3
! Ta2GePd8 PBE-GGA relaxed; values from VASP
&SYSTEM
  ibrav = 0, nat = 11, ntyp = 3
/
ATOMIC_SPECIES
Ge 72.64 Ge.upf
Pd 106.42 Pd.upf
Ta 180.95 Ta.upf
ATOMIC_POSITIONS angstrom
Ge 2.297 0.000 0.000
Pd 0.000 4.223 -0.127
Pd 0.000 -1.197 4.943
Pd 2.297 1.547 1.816
Pd 2.297 -1.183 6.807
Pd 2.297 2.962 4.151
Pd 0.000 1.493 4.863
Pd 0.000 0.078 2.529
Pd 2.297 4.237 1.736
Ta 0.000 2.912 2.477
Ta 2.297 0.128 4.203
CELL_PARAMETERS angstrom
4.593 0.000 0.000
0.000 5.670 -0.171
-2.297 -2.629 6.851
! ρ, Mg/m³: 12.1
! Formation energy, eV/f.u.: -4.53
! E_tot, eV per atom: -6.76
! SG: Immm, No. 71
! Crystal system: orthorhombic


# 4
! YTaGePd2 PBE-GGA relaxed; values from VASP
&SYSTEM
  ibrav = 0, nat = 5, ntyp = 4
/
ATOMIC_SPECIES
Y 88.91 Y.upf
Ge 72.64 Ge.upf
Pd 106.42 Pd.upf
Ta 180.95 Ta.upf
ATOMIC_POSITIONS angstrom
Y 0.000 0.000 0.000
Ge 0.035 -3.056 3.133
Pd 1.883 -0.385 1.506
Pd -1.527 -0.016 1.905
Ta -0.321 -2.655 -0.279
CELL_PARAMETERS angstrom
-3.054 -0.031 3.811
-0.641 -5.309 -0.557
3.766 -0.771 3.012
! ρ, Mg/m³: 7.2
! Formation energy, eV/f.u.: 7.09
! E_tot, eV per atom: -5.25
! SG: P4/mmm, No. 123
! Crystal system: tetragonal


# 5
! TbGe3Pd5 PBE-GGA relaxed; values from VASP
&SYSTEM
  ibrav = 0, nat = 18, ntyp = 3
/
ATOMIC_SPECIES
Pd 106.42 Pd.upf
Ge 72.64 Ge.upf
Tb 158.93 Tb.upf
ATOMIC_POSITIONS angstrom
Pd 0.000 2.673 7.485
Pd 1.898 3.957 5.544
Pd 1.898 0.591 8.436
Pd 1.898 0.591 11.108
Pd 1.898 3.957 0.970
Pd 0.000 0.000 0.000
Pd 0.000 2.673 12.058
Pd 0.000 6.039 1.921
Pd 0.000 0.000 6.514
Pd 0.000 6.039 4.593
Ge 1.898 1.600 5.963
Ge 0.000 5.030 12.477
Ge 0.000 1.676 9.772
Ge 1.898 4.955 3.257
Ge 1.898 1.600 0.551
Ge 0.000 5.030 7.066
Tb 1.898 5.019 9.772
Tb 0.000 1.611 3.257
CELL_PARAMETERS angstrom
3.796 0.000 0.000
-1.898 6.630 0.000
0.000 0.000 13.029
! ρ, Mg/m³: 9.2
! Formation energy, eV/f.u.: -5.23
! E_tot, eV per atom: -5.52
! SG: Cmcm, No. 63
! Crystal system: orthorhombic


# 6
! Tb5GePd2 PBE-GGA relaxed; values from VASP
&SYSTEM
  ibrav = 0, nat = 16, ntyp = 3
/
ATOMIC_SPECIES
Tb 158.93 Tb.upf
Ge 72.64 Ge.upf
Pd 106.42 Pd.upf
ATOMIC_POSITIONS angstrom
Tb 2.139 3.748 3.468
Tb -0.915 -2.454 4.960
Tb -3.440 2.714 5.805
Tb 4.967 2.285 0.867
Tb 0.000 0.000 0.000
Tb -3.577 -0.349 4.129
Tb 4.664 -1.421 2.622
Tb 1.835 0.042 5.222
Tb -3.743 -0.991 7.560
Tb -0.611 1.251 3.205
Ge -1.177 0.472 6.278
Ge 2.401 0.821 2.149
Pd -1.498 -1.410 2.212
Pd -3.365 2.379 2.849
Pd -5.657 0.713 6.046
Pd -3.790 -3.077 5.409
CELL_PARAMETERS angstrom
-4.823 4.945 3.498
-2.332 -5.642 4.761
8.378 1.991 0.169
! ρ, Mg/m³: 9.0
! Formation energy, eV/f.u.: -5.42
! E_tot, eV per atom: -5.45
! SG: I4/mcm, No. 140
! Crystal system: tetragonal


# 7
! Tb3Ge4Pd7 PBE-GGA relaxed; values from VASP
&SYSTEM
  ibrav = 0, nat = 14, ntyp = 3
/
ATOMIC_SPECIES
Pd 106.42 Pd.upf
Ge 72.64 Ge.upf
Tb 158.93 Tb.upf
ATOMIC_POSITIONS angstrom
Pd 0.847 -3.407 -3.907
Pd 5.162 -9.536 -1.491
Pd 4.619 -6.830 -0.613
Pd 3.930 -7.373 -5.264
Pd 2.078 -5.570 -0.134
Pd 0.000 0.000 0.000
Pd 1.389 -6.113 -4.785
Ge 4.384 -4.333 -0.095
Ge 0.920 -5.452 -2.383
Ge 5.089 -7.491 -3.015
Ge 1.624 -8.611 -5.303
Tb 5.227 -10.128 -4.527
Tb 3.852 -4.632 -3.040
Tb 0.781 -2.815 -0.871
CELL_PARAMETERS angstrom
-1.696 -3.678 0.681
1.106 -4.089 -6.947
6.598 -5.175 0.868
! ρ, Mg/m³: 9.9
! Formation energy, eV/f.u.: -11.95
! E_tot, eV per atom: -5.76
! SG: C2/m, No. 12
! Crystal system: monoclinic


# 8
! Tb3Ge2Pd6 PBE-GGA relaxed; values from VASP
&SYSTEM
  ibrav = 0, nat = 22, ntyp = 3
/
ATOMIC_SPECIES
Pd 106.42 Pd.upf
Ge 72.64 Ge.upf
Tb 158.93 Tb.upf
ATOMIC_POSITIONS angstrom
Pd 2.545 0.000 4.589
Pd 3.818 2.204 0.000
Pd -0.042 4.482 -2.730
Pd 3.903 2.204 -2.730
Pd -1.273 2.204 4.589
Pd 5.175 0.000 0.870
Pd 3.860 2.278 2.730
Pd 1.273 2.204 3.600
Pd 0.000 4.409 0.000
Pd -2.588 4.482 0.870
Pd 0.042 4.482 2.730
Pd 2.588 4.482 -0.870
Ge 1.930 3.343 1.365
Ge 3.860 0.000 -1.365
Ge 0.000 0.000 4.095
Ge -1.930 3.343 -1.365
Tb -1.110 1.923 1.570
Tb 2.750 4.763 -3.889
Tb -2.750 4.763 3.889
Tb 1.110 1.923 -1.570
Tb 2.221 0.000 1.570
Tb 5.500 0.000 3.889
CELL_PARAMETERS angstrom
7.721 0.000 -2.730
-3.860 6.686 -2.730
0.000 0.000 8.189
! ρ, Mg/m³: 9.9
! Formation energy, eV/f.u.: -8.88
! E_tot, eV per atom: -5.74
! SG: Im-3m, No. 229
! Crystal system: cubic


# 9
! Tb2GePd6 PBE-GGA relaxed; values from VASP
&SYSTEM
  ibrav = 0, nat = 9, ntyp = 3
/
ATOMIC_SPECIES
Pd 106.42 Pd.upf
Ge 72.64 Ge.upf
Tb 158.93 Tb.upf
ATOMIC_POSITIONS angstrom
Pd -1.099 -2.822 5.446
Pd 0.358 -3.176 7.750
Pd 0.939 -1.083 6.064
Pd -0.818 1.092 5.734
Pd -2.855 -0.647 5.116
Pd -2.275 1.446 3.430
Ge 0.000 0.000 0.000
Tb -0.062 -1.094 3.283
Tb -1.855 -0.635 7.897
CELL_PARAMETERS angstrom
-3.739 3.359 2.876
-1.209 -4.353 3.509
3.031 -0.735 4.795
! ρ, Mg/m³: 10.4
! Formation energy, eV/f.u.: -7.26
! E_tot, eV per atom: -5.81
! SG: P-3m1, No. 164
! Crystal system: trigonal


# 10
! TbGe3Pd PBE-GGA relaxed; values from VASP
&SYSTEM
  ibrav = 0, nat = 10, ntyp = 3
/
ATOMIC_SPECIES
Tb 158.93 Tb.upf
Pd 106.42 Pd.upf
Ge 72.64 Ge.upf
ATOMIC_POSITIONS angstrom
Tb -3.298 -3.373 2.733
Tb -4.962 -1.648 -1.582
Pd -1.024 -5.419 2.687
Pd -2.797 -4.148 -1.176
Ge -3.007 -6.679 3.453
Ge -1.929 -2.231 0.141
Ge -5.784 -2.644 1.286
Ge -5.201 -4.507 -0.556
Ge -6.081 -5.177 2.042
Ge -1.915 -5.940 0.400
CELL_PARAMETERS angstrom
-5.106 -1.361 -2.579
1.869 -5.231 -0.941
-2.353 -1.513 5.455
! ρ, Mg/m³: 7.9
! Formation energy, eV/f.u.: -2.64
! E_tot, eV per atom: -5.26
! SG: P2_1, No. 4
! Crystal system: monoclinic


# 11
! Tb3Ge4Pd2 PBE-GGA relaxed; values from VASP
&SYSTEM
  ibrav = 0, nat = 9, ntyp = 3
/
ATOMIC_SPECIES
Tb 158.93 Tb.upf
Ge 72.64 Ge.upf
Pd 106.42 Pd.upf
ATOMIC_POSITIONS angstrom
Tb 0.469 0.839 5.839
Tb -2.181 -2.239 2.558
Tb 0.000 0.000 0.000
Ge -2.705 0.526 1.273
Ge 0.993 -1.926 7.124
Ge 0.862 -0.540 2.999
Ge -2.574 -0.859 5.399
Pd -1.363 0.580 3.426
Pd -0.349 -1.979 4.972
CELL_PARAMETERS angstrom
-2.139 3.509 1.247
-3.470 -4.672 -0.201
3.897 -0.236 7.352
! ρ, Mg/m³: 8.8
! Formation energy, eV/f.u.: -7.84
! E_tot, eV per atom: -5.62
! SG: C2/m, No. 12
! Crystal system: monoclinic
! E above lowest polymorph, meV/atom: 0


# 12
! Tb3Ge8Pd3 PBE-GGA relaxed; values from VASP
&SYSTEM
  ibrav = 0, nat = 14, ntyp = 3
/
ATOMIC_SPECIES
Ge 72.64 Ge.upf
Tb 158.93 Tb.upf
Pd 106.42 Pd.upf
ATOMIC_POSITIONS angstrom
Ge 1.476 4.268 3.197
Ge 3.204 5.078 5.442
Ge 5.006 6.332 7.404
Ge 2.658 2.375 7.513
Ge 1.556 0.082 2.897
Ge 4.385 3.185 9.758
Ge 0.855 1.120 5.552
Ge 4.306 7.370 10.058
Tb 3.481 2.242 4.393
Tb 0.000 0.000 0.000
Tb 2.381 5.210 8.562
Pd 0.762 3.726 5.906
Pd 1.890 2.185 1.628
Pd 3.971 5.267 11.327
CELL_PARAMETERS angstrom
4.338 0.000 1.144
1.405 7.485 3.469
0.119 -0.032 8.343
! ρ, Mg/m³: 8.5
! Formation energy, eV/f.u.: -7.70
! E_tot, eV per atom: -5.29
! SG: C2/m, No. 12
! Crystal system: monoclinic


- Number 10 is which compound?
  TbGe3Pd